The following is a DFT calculation (meta-GGA SCAN) of a crystal of KLaTl2Pt relaxed with PBEsol.

Structure (CIF):
```
data_KLaTl2Pt
_chemical_formula_sum 'K1 La1 Tl2 Pt1'
_space_group_name_H-M_alt 'P 1'
_space_group_IT_number 1
_cell_length_a 5.497
_cell_length_b 5.497
_cell_length_c 5.328
_cell_angle_alpha 90.00
_cell_angle_beta 90.00
_cell_angle_gamma 90.00
loop_
_space_group_symop_operation_xyz
'x,y,z'
loop_
_atom_site_label
_atom_site_type_symbol
_atom_site_fract_x
_atom_site_fract_y
_atom_site_fract_z
K1 K 0.000 0.000 0.000
La1 La 0.500 0.500 0.000
Tl1 Tl 0.000 0.500 0.500
Tl2 Tl 0.500 0.000 0.500
Pt1 Pt 0.500 0.500 0.500
```

Properties
- calculated volume (Å³ per atom) = 32.20
- SG = P4/mmm, No. 123
- uncorrected energy (eV per atom) = -53.57